(1)
A geometry-optimized K2CaMo structure. Source: Alexandria, functional PBE.

Cell lengths 3.752, 6.677, 6.169 Å; angles 90.00, 94.24, 90.00 degrees
Sites, in units of the cell vectors:
1 K 0.235 0.000 0.266
2 K 0.765 0.000 0.734
3 Ca 0.500 0.500 0.000
4 Mo 0.000 0.500 0.500

## Properties
The energy above the most stable polymorph in this dataset comes out at 199.6 meV/atom. The formation enthalpy at 0 K is 1.144 eV per atom.

---

(2)
A geometry-optimized Mn3PtAu structure. Source: Alexandria, functional PBE.

Cell lengths 4.851, 4.851, 4.851 Å; angles 90.00, 90.00, 90.00 degrees
Sites, in units of the cell vectors:
1 Mn 0.000 0.000 0.500
2 Mn 0.000 0.500 0.000
3 Mn 0.500 0.000 0.000
4 Pt 0.000 0.000 0.000
5 Au 0.500 0.500 0.500

## Properties
The energy above the most stable polymorph in this dataset comes out at 0.0 meV/atom. The formation enthalpy at 0 K is 0.713 eV per atom.

---

(3)
A geometry-optimized MnTl2Ni structure. Source: Alexandria, functional PBE.

Cell lengths 3.321, 3.321, 26.125 Å; angles 90.00, 90.00, 120.00 degrees
Sites, in units of the cell vectors:
1 Mn 0.000 0.000 0.000
2 Mn 0.333 0.667 0.667
3 Mn 0.667 0.333 0.333
4 Tl 0.000 0.000 0.533
5 Tl 0.000 0.000 0.756
6 Tl 0.333 0.667 0.199
7 Tl 0.333 0.667 0.423
8 Tl 0.667 0.333 0.090
9 Tl 0.667 0.333 0.866
10 Ni 0.000 0.000 0.277
11 Ni 0.333 0.667 0.944
12 Ni 0.667 0.333 0.610

## Properties
The energy above the most stable polymorph in this dataset comes out at 111.0 meV/atom. The formation enthalpy at 0 K is 0.395 eV per atom.

---

(4)
A geometry-optimized Ba2BeRePb structure. Source: Alexandria, functional PBE.

Cell lengths 6.670, 6.670, 4.450 Å; angles 90.00, 90.00, 90.00 degrees
Sites, in units of the cell vectors:
1 Ba 0.000 0.500 0.000
2 Ba 0.500 0.000 0.000
3 Be 0.000 0.000 0.500
4 Re 0.500 0.500 0.500
5 Pb 0.000 0.000 0.000

## Properties
The formation enthalpy at 0 K is 1.266 eV per atom.

---

(5)
A geometry-optimized Tb2BePd6 structure. Source: Alexandria, functional PBE.

Cell lengths 5.980, 5.980, 5.980 Å; angles 60.00, 60.00, 60.00 degrees
Sites, in units of the cell vectors:
1 Tb 0.250 0.250 0.250
2 Tb 0.750 0.750 0.750
3 Be 0.000 0.000 0.000
4 Pd 0.261 0.261 0.739
5 Pd 0.261 0.739 0.261
6 Pd 0.261 0.739 0.739
7 Pd 0.739 0.261 0.261
8 Pd 0.739 0.261 0.739
9 Pd 0.739 0.739 0.261

## Properties
The formation enthalpy at 0 K is -0.885 eV per atom.

---

(6)
A geometry-optimized SrMnS structure. Source: Alexandria, functional PBE.

Cell lengths 4.118, 4.118, 4.440 Å; angles 90.00, 90.00, 120.00 degrees
Sites, in units of the cell vectors:
1 Sr 0.000 0.000 0.000
2 Mn 0.333 0.667 0.500
3 S 0.667 0.333 0.500

## Properties
For the energy relative to the elements, uncorrected, the calculation gives -0.618 eV per atom. The energy above the most stable polymorph in this dataset comes out at 249.9 meV/atom.

---

(7)
A geometry-optimized HoPa3 structure. Source: Alexandria, functional PBE.

Cell lengths 4.702, 4.702, 4.702 Å; angles 90.00, 90.00, 90.00 degrees
Sites, in units of the cell vectors:
1 Ho 0.000 0.000 0.000
2 Pa 0.000 0.500 0.500
3 Pa 0.500 0.000 0.500
4 Pa 0.500 0.500 0.000

## Properties
The energy above the most stable polymorph in this dataset comes out at 23.7 meV/atom. The formation enthalpy at 0 K is 0.172 eV per atom.

---

(8)
A geometry-optimized Ac3Tl2Rh4 structure. Source: Alexandria, functional PBE.

Cell lengths 8.220, 8.220, 7.319 Å; angles 92.81, 92.81, 77.98 degrees
Sites, in units of the cell vectors:
1 Ac 0.085 0.915 0.750
2 Ac 0.260 0.495 0.041
3 Ac 0.495 0.260 0.541
4 Ac 0.505 0.740 0.459
5 Ac 0.740 0.505 0.959
6 Ac 0.915 0.085 0.250
7 Tl 0.039 0.344 0.611
8 Tl 0.344 0.039 0.111
9 Tl 0.656 0.961 0.889
10 Tl 0.961 0.656 0.389
11 Rh 0.057 0.244 0.965
12 Rh 0.244 0.057 0.465
13 Rh 0.264 0.570 0.614
14 Rh 0.430 0.736 0.886
15 Rh 0.570 0.264 0.114
16 Rh 0.736 0.430 0.386
17 Rh 0.756 0.943 0.535
18 Rh 0.943 0.756 0.035

## Properties
The energy above the most stable polymorph in this dataset comes out at 144.3 meV/atom. The formation enthalpy at 0 K is -0.347 eV per atom.

---

(9)
A geometry-optimized TlCd2Cu structure. Source: Alexandria, functional PBE.

Cell lengths 3.240, 3.240, 28.859 Å; angles 90.00, 90.00, 120.00 degrees
Sites, in units of the cell vectors:
1 Tl 0.000 0.000 0.000
2 Tl 0.333 0.667 0.667
3 Tl 0.667 0.333 0.333
4 Cd 0.000 0.000 0.238
5 Cd 0.000 0.000 0.762
6 Cd 0.333 0.667 0.429
7 Cd 0.333 0.667 0.904
8 Cd 0.667 0.333 0.096
9 Cd 0.667 0.333 0.571
10 Cu 0.000 0.000 0.500
11 Cu 0.333 0.667 0.167
12 Cu 0.667 0.333 0.833

## Properties
The energy above the most stable polymorph in this dataset comes out at 52.0 meV/atom. The formation enthalpy at 0 K is 0.139 eV per atom.

---

(10)
A geometry-optimized Tl3Hg3Au2 structure. Source: Alexandria, functional PBE.

Cell lengths 8.789, 16.432, 5.946 Å; angles 90.00, 90.00, 90.00 degrees
Sites, in units of the cell vectors:
1 Tl 0.030 0.116 0.115
2 Tl 0.030 0.384 0.115
3 Tl 0.179 0.250 0.637
4 Tl 0.321 0.750 0.137
5 Tl 0.470 0.616 0.615
6 Tl 0.470 0.884 0.615
7 Tl 0.530 0.116 0.385
8 Tl 0.530 0.384 0.385
9 Tl 0.679 0.250 0.863
10 Tl 0.821 0.750 0.363
11 Tl 0.970 0.616 0.885
12 Tl 0.970 0.884 0.885
13 Hg 0.198 0.021 0.626
14 Hg 0.198 0.479 0.626
15 Hg 0.198 0.750 0.653
16 Hg 0.302 0.250 0.153
17 Hg 0.302 0.521 0.126
18 Hg 0.302 0.979 0.126
19 Hg 0.698 0.021 0.874
20 Hg 0.698 0.479 0.874
21 Hg 0.698 0.750 0.847
22 Hg 0.802 0.250 0.347
23 Hg 0.802 0.521 0.374
24 Hg 0.802 0.979 0.374
25 Au 0.075 0.622 0.365
26 Au 0.075 0.878 0.365
27 Au 0.425 0.122 0.865
28 Au 0.425 0.378 0.865
29 Au 0.575 0.622 0.135
30 Au 0.575 0.878 0.135
31 Au 0.925 0.122 0.635
32 Au 0.925 0.378 0.635

## Properties
The energy above the most stable polymorph in this dataset comes out at 0.0 meV/atom. The formation enthalpy at 0 K is -0.009 eV per atom.

---

(11)
A geometry-optimized LiScW3 structure. Source: Alexandria, functional PBE.

Cell lengths 4.352, 4.352, 4.352 Å; angles 90.00, 90.00, 90.00 degrees
Sites, in units of the cell vectors:
1 Li 0.000 0.000 0.000
2 Sc 0.500 0.500 0.500
3 W 0.000 0.000 0.500
4 W 0.000 0.500 0.000
5 W 0.500 0.000 0.000

## Properties
The energy above the most stable polymorph in this dataset comes out at 0.0 meV/atom. The formation enthalpy at 0 K is 1.329 eV per atom.

---

(12)
A geometry-optimized BeAlGaF6 structure. Source: Alexandria, functional PBE.

Cell lengths 4.812, 4.812, 5.824 Å; angles 90.00, 90.00, 120.00 degrees
Sites, in units of the cell vectors:
1 Be 0.000 0.000 0.000
2 Al 0.333 0.667 0.000
3 Ga 0.667 0.333 0.500
4 F 0.041 0.326 0.172
5 F 0.041 0.715 0.828
6 F 0.285 0.326 0.828
7 F 0.285 0.959 0.172
8 F 0.674 0.715 0.172
9 F 0.674 0.959 0.828

## Properties
For the energy relative to the elements, uncorrected, the calculation gives -2.913 eV per atom.

---

(13)
A geometry-optimized DyZn9Au2 structure. Source: Alexandria, functional PBE.

Cell lengths 8.346, 8.346, 8.346 Å; angles 99.90, 99.90, 131.01 degrees
Sites, in units of the cell vectors:
1 Dy 0.375 0.625 0.750
2 Dy 0.625 0.375 0.250
3 Zn 0.125 0.875 0.250
4 Zn 0.128 0.550 0.337
5 Zn 0.128 0.791 0.578
6 Zn 0.209 0.287 0.337
7 Zn 0.209 0.872 0.922
8 Zn 0.287 0.209 0.837
9 Zn 0.287 0.450 0.078
10 Zn 0.450 0.287 0.578
11 Zn 0.450 0.872 0.163
12 Zn 0.550 0.128 0.837
13 Zn 0.550 0.713 0.422
14 Zn 0.713 0.550 0.922
15 Zn 0.713 0.791 0.163
16 Zn 0.791 0.128 0.078
17 Zn 0.791 0.713 0.663
18 Zn 0.872 0.209 0.422
19 Zn 0.872 0.450 0.663
20 Zn 0.875 0.125 0.750
21 Au 0.000 0.000 0.000
22 Au 0.000 0.000 0.500
23 Au 0.000 0.500 0.000
24 Au 0.500 0.000 0.500

## Properties
The energy above the most stable polymorph in this dataset comes out at 0.0 meV/atom. The formation enthalpy at 0 K is -0.266 eV per atom.

---

(14)
A geometry-optimized SmTmGe structure. Source: Alexandria, functional PBE.

Cell lengths 6.935, 6.935, 6.935 Å; angles 90.00, 90.00, 90.00 degrees
Sites, in units of the cell vectors:
1 Sm 0.000 0.000 0.000
2 Sm 0.000 0.500 0.500
3 Sm 0.500 0.000 0.500
4 Sm 0.500 0.500 0.000
5 Tm 0.000 0.000 0.500
6 Tm 0.000 0.500 0.000
7 Tm 0.500 0.000 0.000
8 Tm 0.500 0.500 0.500
9 Ge 0.250 0.250 0.750
10 Ge 0.250 0.750 0.250
11 Ge 0.750 0.250 0.250
12 Ge 0.750 0.750 0.750

## Properties
The formation enthalpy at 0 K is -0.519 eV per atom.

---

(15)
A geometry-optimized Pm6Pr3DyHo2 structure. Source: Alexandria, functional PBE.

Cell lengths 6.307, 6.307, 12.040 Å; angles 95.02, 95.02, 120.01 degrees
Sites, in units of the cell vectors:
1 Pm 0.084 0.418 0.755
2 Pm 0.249 0.249 0.245
3 Pm 0.418 0.084 0.755
4 Pm 0.582 0.916 0.245
5 Pm 0.751 0.751 0.755
6 Pm 0.916 0.582 0.245
7 Pr 0.000 0.000 0.500
8 Pr 0.333 0.667 0.500
9 Pr 0.667 0.333 0.500
10 Dy 0.500 0.500 0.000
11 Ho 0.167 0.833 0.000
12 Ho 0.833 0.167 0.000

## Properties
The formation enthalpy at 0 K is 0.017 eV per atom.

---

(16)
A geometry-optimized Ti2CuTe2 structure. Source: Alexandria, functional PBE.

Cell lengths 7.355, 7.355, 3.658 Å; angles 90.00, 90.00, 90.00 degrees
Sites, in units of the cell vectors:
1 Ti 0.141 0.359 0.000
2 Ti 0.359 0.859 0.000
3 Ti 0.641 0.141 0.000
4 Ti 0.859 0.641 0.000
5 Cu 0.000 0.000 0.000
6 Cu 0.500 0.500 0.000
7 Te 0.157 0.657 0.500
8 Te 0.343 0.157 0.500
9 Te 0.657 0.843 0.500
10 Te 0.843 0.343 0.500

## Properties
For the energy relative to the elements, uncorrected, the calculation gives -0.288 eV per atom.

---

(17)
A geometry-optimized SmUAgO6 structure. Source: Alexandria, functional PBE.

Cell lengths 5.887, 5.887, 4.503 Å; angles 90.00, 90.00, 120.00 degrees
Sites, in units of the cell vectors:
1 Sm 0.000 0.000 0.000
2 U 0.333 0.667 0.000
3 Ag 0.667 0.333 0.500
4 O 0.030 0.367 0.236
5 O 0.030 0.663 0.764
6 O 0.337 0.367 0.764
7 O 0.337 0.970 0.236
8 O 0.633 0.663 0.236
9 O 0.633 0.970 0.764

## Properties
For the energy relative to the elements, uncorrected, the calculation gives -2.126 eV per atom.

---

(18)
A geometry-optimized La2GaPt structure. Source: Alexandria, functional PBE.

Cell lengths 4.413, 4.297, 11.202 Å; angles 90.00, 90.00, 90.00 degrees
Sites, in units of the cell vectors:
1 La 0.000 0.000 0.000
2 La 0.000 0.500 0.500
3 La 0.500 0.000 0.281
4 La 0.500 0.500 0.781
5 Ga 0.500 0.000 0.570
6 Ga 0.500 0.500 0.070
7 Pt 0.000 0.000 0.721
8 Pt 0.000 0.500 0.221

## Properties
The formation enthalpy at 0 K is -0.855 eV per atom.

---

(19)
A geometry-optimized Pr2SiGe structure. Source: Alexandria, functional PBE.

Cell lengths 4.319, 4.319, 21.137 Å; angles 90.00, 90.00, 120.00 degrees
Sites, in units of the cell vectors:
1 Pr 0.000 0.000 0.248
2 Pr 0.000 0.000 0.752
3 Pr 0.333 0.667 0.418
4 Pr 0.333 0.667 0.915
5 Pr 0.667 0.333 0.085
6 Pr 0.667 0.333 0.582
7 Si 0.000 0.000 0.500
8 Si 0.333 0.667 0.167
9 Si 0.667 0.333 0.833
10 Ge 0.000 0.000 0.000
11 Ge 0.333 0.667 0.667
12 Ge 0.667 0.333 0.333

## Properties
For the energy relative to the elements, uncorrected, the calculation gives -0.527 eV per atom.

---

(20)
A geometry-optimized Sr4HgP structure. Source: Alexandria, functional PBE.

Cell lengths 9.414, 9.414, 7.617 Å; angles 113.78, 113.78, 47.73 degrees
Sites, in units of the cell vectors:
1 Sr 0.130 0.132 0.130
2 Sr 0.132 0.130 0.630
3 Sr 0.368 0.370 0.368
4 Sr 0.370 0.368 0.868
5 Sr 0.630 0.632 0.132
6 Sr 0.632 0.630 0.632
7 Sr 0.868 0.870 0.370
8 Sr 0.870 0.868 0.870
9 Hg 0.250 0.750 0.750
10 Hg 0.750 0.250 0.250
11 P 0.000 0.500 0.000
12 P 0.500 0.000 0.500

## Properties
The energy above the most stable polymorph in this dataset comes out at 0.0 meV/atom. The formation enthalpy at 0 K is -0.542 eV per atom.

---

Number 1: total moment 0.98 μB per atom. Number 2: total moment 2.70 μB per atom. Number 3: total moment 1.00 μB per atom. Number 4: total moment 0.63 μB per atom. Number 5: total moment 0.00 μB per atom. Number 6: total moment 1.05 μB per atom. Number 7: total moment 0.00 μB per atom. Number 8: total moment 0.00 μB per atom. Number 9: total moment 0.00 μB per atom. Number 10: total moment 0.00 μB per atom. Number 11: total moment 0.00 μB per atom. Number 12: total moment 0.00 μB per atom. Number 13: total moment 0.00 μB per atom. Number 14: total moment 0.00 μB per atom. Number 15: total moment 0.00 μB per atom. Number 16: total moment 0.00 μB per atom. Number 17: total moment 0.00 μB per atom. Number 18: total moment 0.00 μB per atom. Number 19: total moment 0.00 μB per atom. Number 20: total moment 0.00 μB per atom.